Record 1
DFT (PBE) results for a relaxed structure of Cr2TcSb.

CIF file:
```
data_Cr2TcSb
_symmetry_space_group_name_H-M 'P 1 m 1'
_symmetry_Int_Tables_number 6
_symmetry_space_group_name_Hall 'P -2y'
_cell_length_a 2.945
_cell_length_b 3.878
_cell_length_c 5.352
_cell_angle_alpha 90.00
_cell_angle_beta 95.57
_cell_angle_gamma 90.00
loop_
_atom_site_label
_atom_site_type_symbol
_atom_site_fract_x
_atom_site_fract_y
_atom_site_fract_z
Cr1 Cr 0.000 0.000 0.000
Cr2 Cr 0.361 0.500 0.201
Tc1 Tc 0.516 0.500 0.766
Sb1 Sb 0.959 0.000 0.492
```

E_form (uncorrected): 0.3507 eV/atom
Total moment: 0.2 μB/cell



Record 2
DFT (PBE) results for a relaxed structure of MgPPt2.

CIF file:
```
data_MgPPt2
_symmetry_space_group_name_H-M 'I m m m'
_symmetry_Int_Tables_number 71
_symmetry_space_group_name_Hall '-I 2 2'
_cell_length_a 3.442
_cell_length_b 4.339
_cell_length_c 8.402
_cell_angle_alpha 90.00
_cell_angle_beta 90.00
_cell_angle_gamma 90.00
loop_
_atom_site_label
_atom_site_type_symbol
_atom_site_fract_x
_atom_site_fract_y
_atom_site_fract_z
Mg1 Mg 0.000 0.000 0.000
P1 P 0.000 0.000 0.500
Pt1 Pt 0.000 0.500 0.207
```

Energy of formation: -0.43 eV/atom
Total moment: 0.0 μB/cell



Record 3
DFT (PBE) results for a relaxed structure of Tl2HgTe2.

CIF file:
```
data_Tl2HgTe2
_symmetry_space_group_name_H-M 'P 4/m b m'
_symmetry_Int_Tables_number 127
_symmetry_space_group_name_Hall '-P 4 2ab'
_cell_length_a 9.003
_cell_length_b 9.003
_cell_length_c 3.990
_cell_angle_alpha 90.00
_cell_angle_beta 90.00
_cell_angle_gamma 90.00
loop_
_atom_site_label
_atom_site_type_symbol
_atom_site_fract_x
_atom_site_fract_y
_atom_site_fract_z
Tl1 Tl 0.148 0.352 0.000
Hg1 Hg 0.000 0.000 0.000
Te1 Te 0.152 0.652 0.500
```

Offset from the most stable computed form: 171 meV/atom
E_form (uncorrected): -0.0602 eV/atom
Total moment: 0.0 μB/cell



Record 4
DFT (PBE) results for a relaxed structure of CaPW2.

CIF file:
```
data_CaPW2
_symmetry_space_group_name_H-M 'F -4 3 m'
_symmetry_Int_Tables_number 216
_symmetry_space_group_name_Hall 'F -4 2 3'
_cell_length_a 6.449
_cell_length_b 6.449
_cell_length_c 6.449
_cell_angle_alpha 90.00
_cell_angle_beta 90.00
_cell_angle_gamma 90.00
loop_
_atom_site_label
_atom_site_type_symbol
_atom_site_fract_x
_atom_site_fract_y
_atom_site_fract_z
Ca1 Ca 0.000 0.000 0.000
P1 P 0.250 0.250 0.250
W1 W 0.000 0.000 0.500
W2 W 0.250 0.250 0.750
```

Energy of formation: 0.52 eV/atom
Offset from the most stable computed form: 424 meV/atom
Total moment: 0.0 μB/cell